First-principles (PBE) data for a relaxed structure of PmNd5Al4, as listed in Alexandria via LeMat-Bulk.

Cell: 3.7120 3.7120 20.1778 Å, 90.00 90.00 90.00°
Last column: nearest neighbours and their distance in Å.
Space group P4/mmm (No. 123)
One atom of each set of equivalent atoms:
Pm  0.0000  0.0000  0.0000 [1 per cell]  8 Nd 3.69, 4 Pm 3.71
Nd  0.5000  0.5000  0.1289 [2 per cell]  4 Al 3.20
Nd  0.5000  0.5000  0.3141 [2 per cell]  8 Al 3.23-3.24
Nd  0.5000  0.5000  0.5000 [1 per cell]  8 Al 3.23
Al  0.0000  0.0000  0.2198 [2 per cell]  8 Nd 3.20-3.24
Al  0.0000  0.0000  0.4070 [2 per cell]  8 Nd 3.23

Output
DOS at the Fermi energy   7.12 states/eV per cell
ΔE_f   -0.27 eV/atom

***

First-principles (PBE) data for a relaxed structure of SrLuPd2, as listed in Alexandria via LeMat-Bulk.

Cell: 3.5206 3.5206 7.4232 Å, 90.00 90.00 90.00°
Last column: nearest neighbours and their distance in Å.
Space group P4/mmm (No. 123)
One atom of each set of equivalent atoms:
Sr  0.0000  0.0000  0.0000 [1 per cell]  8 Pd 3.31, 4 Sr 3.52, 2 Lu 3.71
Lu  0.0000  0.0000  0.5000 [1 per cell]  8 Pd 2.92
Pd  0.5000  0.5000  0.2948 [2 per cell]  4 Lu 2.92, 1 Pd 3.05

Output
DOS at the Fermi energy   1.40 states/eV per cell
ΔE_f   -0.79 eV/atom
Excess energy over the best structure of this formula in the dataset   0.0 meV/atom

***

First-principles (PBE) data for a relaxed structure of Tb4InNi, as listed in Alexandria via LeMat-Bulk.

Cell: 13.6282 13.6282 13.6282 Å, 90.00 90.00 90.00°
Last column: nearest neighbours and their distance in Å.
Space group F-43m (No. 216)
One atom of each set of equivalent atoms:
Tb  0.0000  0.0000  0.1872 [24 per cell]  2 In 3.24, 2 Ni 3.48, 10 Tb 3.48-3.61
Tb  0.0617  0.2500  0.7500 [24 per cell]  2 Ni 2.82
Tb  0.0982  0.0982  0.4018 [16 per cell]  3 Ni 2.81
In  0.1678  0.1678  0.1678 [16 per cell]  3 In 3.17, 9 Tb 3.24-3.51
Ni  0.1074  0.1074  0.6074 [16 per cell]  6 Tb 2.81-2.82

Output
DOS at the Fermi energy   82.49 states/eV per cell
ΔE_f   -0.35 eV/atom
Excess energy over the best structure of this formula in the dataset   0.0 meV/atom

***

First-principles (PBE) data for a relaxed structure of CaCuRhF6, as listed in Alexandria via LeMat-Bulk.

Cell: 5.0046 5.0046 10.0597 Å, 90.00 90.00 90.00°
Last column: nearest neighbours and their distance in Å.
Space group P4_2nm (No. 102)
One atom of each set of equivalent atoms:
Ca  0.0000  0.0000  0.0000 [2 per cell]  6 F 2.26-2.30
Cu  0.0000  0.0000  0.3282 [2 per cell]  6 F 2.14-2.21
Rh  0.0000  0.0000  0.6675 [2 per cell]  6 F 2.06-2.07
F  0.1814  0.1814  0.5071 [4 per cell]  1 Rh 2.06, 1 Cu 2.21, 1 Ca 2.26
F  0.1982  0.1982  0.8184 [4 per cell]  1 Rh 2.07, 1 Cu 2.14, 1 Ca 2.30
F  0.2089  0.2089  0.1729 [4 per cell]  1 Rh 2.06, 1 Cu 2.15, 1 Ca 2.28

Output
Formation energy from raw total energies   -2.21 eV per atom

***

First-principles (PBE) data for a relaxed structure of Ba2PrTlSe5, as listed in Alexandria via LeMat-Bulk.

Cell: 4.4021 19.4120 13.5047 Å, 90.00 90.00 90.00°
Last column: nearest neighbours and their distance in Å.
Space group Cmc2_1 (No. 36)
One atom of each set of equivalent atoms:
Ba  0.0000  0.1179  0.0000 [4 per cell]  8 Se 3.32-3.62
Ba  0.0000  0.1327  0.6319 [4 per cell]  7 Se 3.35-3.60
Pr  0.0000  0.2107  0.3324 [4 per cell]  6 Se 2.88-3.21
Tl  0.0000  0.4536  0.7595 [4 per cell]  4 Se 2.62-2.89
Se  0.0000  0.0485  0.3786 [4 per cell]  2 Tl 2.73
Se  0.0000  0.2911  0.9795 [4 per cell]  2 Pr 2.97
Se  0.0000  0.3150  0.6807 [4 per cell]  1 Tl 2.89, 2 Pr 3.05
Se  0.0000  0.3587  0.3187 [4 per cell]  1 Pr 2.88
Se  0.0000  0.4937  0.0807 [4 per cell]  1 Tl 2.62

Output
DOS at the Fermi energy   0.27 states/eV per cell
Formation energy from raw total energies   -1.52 eV per atom

***

First-principles (PBE) data for a relaxed structure of TaNb12Sn3, as listed in Alexandria via LeMat-Bulk.

Cell: 5.3107 5.3369 10.6171 Å, 90.00 90.00 90.00°
Last column: nearest neighbours and their distance in Å.
Space group Pmmm (No. 47)
One atom of each set of equivalent atoms:
Ta  0.0000  0.0000  0.0000 [1 per cell]  12 Nb 2.92-2.96
Nb  0.0000  0.2445  0.2459 [4 per cell]  2 Nb 2.61-2.73, 1 Ta 2.92
Nb  0.2434  0.5000  0.0000 [2 per cell]  2 Nb 2.58-2.73
Nb  0.2491  0.5000  0.5000 [2 per cell]  2 Nb 2.65-2.66
Nb  0.5000  0.0000  0.1216 [2 per cell]  2 Nb 2.58-2.67
Nb  0.5000  0.0000  0.3733 [2 per cell]  2 Nb 2.67-2.69, 4 Sn 2.97-2.98
Sn  0.0000  0.0000  0.5000 [1 per cell]  12 Nb 2.98-3.00
Sn  0.5000  0.5000  0.2505 [2 per cell]  12 Nb 2.97-3.00

Output
DOS at the Fermi energy   20.09 states/eV per cell
ΔE_f   -0.17 eV/atom

***

First-principles (PBE) data for a relaxed structure of Tm2PuSc3Se6, as listed in Alexandria via LeMat-Bulk.

Cell: 17.3054 3.9468 7.9584 Å, 90.00 103.33 90.00°
Last column: nearest neighbours and their distance in Å.
Space group C2/m (No. 12)
One atom of each set of equivalent atoms:
Tm  0.1630  0.0000  0.3286 [4 per cell]  6 Se 2.79-2.87
Pu  0.0000  0.5000  0.0000 [2 per cell]  6 Se 2.88-2.91
Sc  0.0000  0.5000  0.5000 [2 per cell]  6 Se 2.72-2.80
Sc  0.1634  0.0000  0.8378 [4 per cell]  6 Se 2.71-2.80
Se  0.0026  0.0000  0.7372 [4 per cell]  3 Sc 2.71-2.72, 1 Tm 2.79, 2 Pu 2.88
Se  0.1665  0.5000  0.5897 [4 per cell]  3 Sc 2.80, 3 Tm 2.86-2.87
Se  0.1728  0.5000  0.0815 [4 per cell]  3 Sc 2.74-2.76, 2 Tm 2.82, 1 Pu 2.91

Output
DOS at the Fermi energy   18.43 states/eV per cell
Formation energy from raw total energies   -1.62 eV per atom

***

First-principles (PBE) data for a relaxed structure of Rb2InOsBr6, as listed in Alexandria via LeMat-Bulk.

Cell: 11.1952 11.1952 11.1952 Å, 90.00 90.00 90.00°
Last column: nearest neighbours and their distance in Å.
Space group Fm-3m (No. 225)
One atom of each set of equivalent atoms:
Rb  0.2500  0.2500  0.2500 [8 per cell]  12 Br 3.97
In  0.0000  0.0000  0.0000 [4 per cell]  6 Br 3.06
Os  0.0000  0.0000  0.5000 [4 per cell]  6 Br 2.54
Br  0.0000  0.0000  0.2736 [24 per cell]  1 Os 2.54

Output
DOS at the Fermi energy   39.13 states/eV per cell
Formation energy from raw total energies   -0.81 eV per atom

***

Computed values of M_tot (unit: μB/cell) for the preceding records, in sequence: 0.000, 0.000, 0.001, 0.146, 0.000, 0.000, 11.987, 4.000.